# 1
DFT (PBE) results for a relaxed structure of SmTm3Os.

Unit cell a=7.207 b=7.207 c=7.943 alpha=122.85 beta=122.85 gamma=72.49
Sites, in units of the cell vectors:
Sm 0.054 0.054 0.341
Sm 0.946 0.946 0.659
Tm 0.063 0.453 0.208
Tm 0.441 0.441 0.744
Tm 0.453 0.063 0.208
Tm 0.547 0.937 0.792
Tm 0.559 0.559 0.256
Tm 0.937 0.547 0.792
Os 0.253 0.253 0.887
Os 0.747 0.747 0.113

Calculated values
- formation enthalpy at 0 K (eV per atom) = -0.1580
- calculated volume (Å³ per atom) = 29.11
- energy above the lowest structure with this stoichiometry (meV per atom) = 0
- ρ (Mg/m³) = 9.67
- crystal system = monoclinic
- space-group type = C2/m (12)


# 2
DFT (PBE) results for a relaxed structure of SmTm4Os2.

Unit cell a=7.692 b=6.247 c=7.937 alpha=90.00 beta=112.30 gamma=90.00
Sites, in units of the cell vectors:
Sm 0.021 0.250 0.160
Sm 0.979 0.750 0.840
Tm 0.242 0.501 0.580
Tm 0.242 0.999 0.580
Tm 0.328 0.750 0.256
Tm 0.383 0.250 0.019
Tm 0.617 0.750 0.981
Tm 0.672 0.250 0.744
Tm 0.758 0.001 0.420
Tm 0.758 0.499 0.420
Os 0.027 0.250 0.739
Os 0.416 0.250 0.374
Os 0.584 0.750 0.626
Os 0.973 0.750 0.261

Calculated values
- formation enthalpy at 0 K (eV per atom) = -0.2185
- calculated volume (Å³ per atom) = 25.21
- ρ (Mg/m³) = 11.36
- crystal system = monoclinic
- space-group type = P2_1/m (11)